Record 1
A relaxed LaGe2Pt4 crystal. Source: the Alexandria database, functional PBE.

abc: 17.882 4.301 6.930
angles: 90.00 90.00 90.00
Positions (direct):
La 0.140 0.250 0.005
La 0.360 0.750 0.505
La 0.640 0.250 0.495
La 0.860 0.750 0.995
Ge 0.034 0.750 0.738
Ge 0.202 0.250 0.439
Ge 0.298 0.750 0.939
Ge 0.466 0.250 0.238
Ge 0.534 0.750 0.762
Ge 0.702 0.250 0.061
Ge 0.798 0.750 0.561
Ge 0.966 0.250 0.262
Pt 0.019 0.750 0.125
Pt 0.064 0.250 0.520
Pt 0.169 0.750 0.648
Pt 0.228 0.750 0.252
Pt 0.272 0.250 0.752
Pt 0.331 0.250 0.148
Pt 0.436 0.750 0.020
Pt 0.481 0.250 0.625
Pt 0.519 0.750 0.375
Pt 0.564 0.250 0.980
Pt 0.669 0.750 0.852
Pt 0.728 0.750 0.248
Pt 0.772 0.250 0.748
Pt 0.831 0.250 0.352
Pt 0.936 0.750 0.480
Pt 0.981 0.250 0.875

The calculation puts the formation energy at -0.70 eV per atom. The calculation puts the density of states at the Fermi level at 12.2 states/eV per cell. The calculation puts the mass density at 13.27 g cm⁻³. The calculation puts the total energy at -6.18 eV per atom.

Record 2
A relaxed La5Ge2Pt crystal. Source: the Alexandria database, functional PBE.

abc: 8.088 12.641 4.638
angles: 90.00 90.00 90.00
Positions (direct):
La 0.000 0.000 0.000
La 0.162 0.285 0.000
La 0.190 0.570 0.500
La 0.310 0.070 0.500
La 0.338 0.785 0.000
La 0.500 0.500 0.000
La 0.662 0.215 0.000
La 0.690 0.930 0.500
La 0.810 0.430 0.500
La 0.838 0.715 0.000
Ge 0.063 0.830 0.500
Ge 0.437 0.330 0.500
Ge 0.563 0.670 0.500
Ge 0.937 0.170 0.500
Pt 0.000 0.500 0.000
Pt 0.500 0.000 0.000

The calculation puts the formation energy at -0.80 eV per atom. The calculation puts the density of states at the Fermi level at 15.2 states/eV per cell. The calculation puts the mass density at 7.25 g cm⁻³. The calculation puts the total energy at -5.79 eV per atom.

Record 3
A relaxed LaGePt4 crystal. Source: the Alexandria database, functional PBE.

abc: 7.753 4.057 7.106
angles: 90.00 90.00 90.00
Positions (direct):
La 0.250 0.000 0.137
La 0.750 0.000 0.863
Ge 0.250 0.000 0.717
Ge 0.750 0.000 0.283
Pt 0.000 0.000 0.500
Pt 0.049 0.500 0.807
Pt 0.250 0.500 0.458
Pt 0.451 0.500 0.807
Pt 0.500 0.000 0.500
Pt 0.549 0.500 0.193
Pt 0.750 0.500 0.542
Pt 0.951 0.500 0.193

The calculation puts the formation energy at -0.74 eV per atom. The calculation puts the density of states at the Fermi level at 3.1 states/eV per cell. Its polymorph energy (0 for the lowest one) is 0.031 eV per atom. The calculation puts the mass density at 14.74 g cm⁻³. The calculation puts the total energy at -6.35 eV per atom.

Record 4
A relaxed LaGe12Pt4 crystal. Source: the Alexandria database, functional PBE.

abc: 7.563 7.563 7.563
angles: 109.47 109.47 109.47
Positions (direct):
La 0.000 0.000 0.000
Ge 0.151 0.355 0.506
Ge 0.151 0.645 0.796
Ge 0.204 0.849 0.355
Ge 0.355 0.204 0.849
Ge 0.355 0.506 0.151
Ge 0.494 0.849 0.645
Ge 0.506 0.151 0.355
Ge 0.645 0.494 0.849
Ge 0.645 0.796 0.151
Ge 0.796 0.151 0.645
Ge 0.849 0.355 0.204
Ge 0.849 0.645 0.494
Pt 0.000 0.000 0.500
Pt 0.000 0.500 0.000
Pt 0.500 0.000 0.000
Pt 0.500 0.500 0.500

The calculation puts the formation energy at -0.42 eV per atom. The calculation puts the density of states at the Fermi level at 11.7 states/eV per cell. The calculation puts the mass density at 8.93 g cm⁻³. The calculation puts the total energy at -5.39 eV per atom.

Record 5
A relaxed La2Ge3Pt2 crystal. Source: the Alexandria database, functional PBE.

abc: 10.300 4.467 6.838
angles: 90.00 105.83 90.00
Positions (direct):
La 0.154 0.000 0.289
La 0.346 0.500 0.711
La 0.654 0.500 0.289
La 0.846 0.000 0.711
Ge 0.000 0.500 0.500
Ge 0.108 0.500 0.937
Ge 0.392 0.000 0.063
Ge 0.500 0.000 0.500
Ge 0.608 0.000 0.937
Ge 0.892 0.500 0.063
Pt 0.145 0.000 0.773
Pt 0.355 0.500 0.227
Pt 0.645 0.500 0.773
Pt 0.855 0.000 0.227

The calculation puts the formation energy at -0.84 eV per atom. The calculation puts the density of states at the Fermi level at 8.4 states/eV per cell. The calculation puts the mass density at 9.72 g cm⁻³. The calculation puts the total energy at -5.95 eV per atom.

Record 6
A relaxed La3Ge4Pt7 crystal. Source: the Alexandria database, functional PBE.

abc: 8.433 8.433 9.491
angles: 123.43 123.43 29.56
Positions (direct):
La 0.000 0.000 0.000
La 0.327 0.327 0.337
La 0.673 0.673 0.663
Ge 0.121 0.121 0.838
Ge 0.323 0.323 0.689
Ge 0.677 0.677 0.311
Ge 0.879 0.879 0.162
Pt 0.000 0.000 0.500
Pt 0.135 0.135 0.394
Pt 0.307 0.307 0.944
Pt 0.497 0.497 0.253
Pt 0.503 0.503 0.747
Pt 0.693 0.693 0.056
Pt 0.865 0.865 0.606

The calculation puts the formation energy at -0.94 eV per atom. The calculation puts the density of states at the Fermi level at 8.1 states/eV per cell. The calculation puts the mass density at 12.58 g cm⁻³. The calculation puts the total energy at -6.34 eV per atom.

Record 7
A relaxed LaGe2Pt crystal. Source: the Alexandria database, functional PBE.

abc: 4.688 4.688 17.505
angles: 90.00 90.00 90.00
Positions (direct):
La 0.000 0.000 0.000
La 0.000 0.500 0.250
La 0.500 0.000 0.750
La 0.500 0.500 0.500
Ge 0.121 0.250 0.625
Ge 0.250 0.621 0.875
Ge 0.250 0.879 0.375
Ge 0.379 0.250 0.125
Ge 0.621 0.750 0.125
Ge 0.750 0.121 0.375
Ge 0.750 0.379 0.875
Ge 0.879 0.750 0.625
Pt 0.000 0.000 0.500
Pt 0.000 0.500 0.750
Pt 0.500 0.000 0.250
Pt 0.500 0.500 0.000

The calculation puts the formation energy at -0.61 eV per atom. The calculation puts the density of states at the Fermi level at 9.1 states/eV per cell. The calculation puts the mass density at 8.27 g cm⁻³. The calculation puts the total energy at -5.66 eV per atom.

Record 8
A relaxed LaGe2Pt2 crystal. Source: the Alexandria database, functional PBE.

abc: 4.464 4.464 10.057
angles: 90.00 90.00 90.00
Positions (direct):
La 0.000 0.000 0.000
La 0.500 0.500 0.500
Ge 0.000 0.000 0.372
Ge 0.000 0.000 0.628
Ge 0.500 0.500 0.128
Ge 0.500 0.500 0.872
Pt 0.000 0.500 0.250
Pt 0.000 0.500 0.750
Pt 0.500 0.000 0.250
Pt 0.500 0.000 0.750

The calculation puts the formation energy at -0.89 eV per atom. The calculation puts the density of states at the Fermi level at 7.4 states/eV per cell. The calculation puts the mass density at 11.18 g cm⁻³. The calculation puts the total energy at -6.14 eV per atom.

Record 9
A relaxed LaGe2Pt crystal. Source: the Alexandria database, functional PBE.

abc: 3.542 3.542 27.826
angles: 90.00 90.00 120.00
Positions (direct):
La 0.000 0.000 0.000
La 0.333 0.667 0.667
La 0.667 0.333 0.333
Ge 0.000 0.000 0.111
Ge 0.000 0.000 0.889
Ge 0.333 0.667 0.556
Ge 0.333 0.667 0.777
Ge 0.667 0.333 0.223
Ge 0.667 0.333 0.444
Pt 0.000 0.000 0.500
Pt 0.333 0.667 0.167
Pt 0.667 0.333 0.833

The calculation puts the formation energy at -0.06 eV per atom. The calculation puts the density of states at the Fermi level at 8.8 states/eV per cell. The calculation puts the mass density at 7.90 g cm⁻³. The calculation puts the total energy at -5.11 eV per atom.

Record 10
A relaxed LaGePt crystal. Source: the Alexandria database, functional PBE.

abc: 4.446 4.446 11.977
angles: 90.00 90.00 120.00
Positions (direct):
La 0.000 0.000 0.000
La 0.000 0.000 0.333
La 0.000 0.000 0.667
Ge 0.333 0.667 0.500
Ge 0.667 0.333 0.154
Ge 0.667 0.333 0.846
Pt 0.333 0.667 0.176
Pt 0.333 0.667 0.824
Pt 0.667 0.333 0.500

The calculation puts the formation energy at -1.09 eV per atom. The calculation puts the density of states at the Fermi level at 6.5 states/eV per cell. The calculation puts the mass density at 9.88 g cm⁻³. The calculation puts the total energy at -6.29 eV per atom.

Record 11
A relaxed LaGe2Pt crystal. Source: the Alexandria database, functional PBE.

abc: 7.355 4.324 10.968
angles: 90.00 90.00 90.00
Positions (direct):
La 0.139 0.250 0.141
La 0.361 0.750 0.641
La 0.639 0.250 0.359
La 0.861 0.750 0.859
Ge 0.021 0.250 0.649
Ge 0.200 0.250 0.438
Ge 0.300 0.750 0.938
Ge 0.479 0.750 0.149
Ge 0.521 0.250 0.851
Ge 0.700 0.250 0.062
Ge 0.800 0.750 0.562
Ge 0.979 0.750 0.351
Pt 0.174 0.250 0.849
Pt 0.326 0.750 0.349
Pt 0.674 0.250 0.651
Pt 0.826 0.750 0.151

The calculation puts the formation energy at -0.82 eV per atom. The calculation puts the density of states at the Fermi level at 5.4 states/eV per cell. The calculation puts the mass density at 9.13 g cm⁻³. The calculation puts the total energy at -5.87 eV per atom.

Record 12
A relaxed La3GePt crystal. Source: the Alexandria database, functional PBE.

abc: 5.580 7.659 8.029
angles: 68.62 79.31 69.20
Positions (direct):
La 0.053 0.097 0.194
La 0.343 0.231 0.662
La 0.348 0.468 0.228
La 0.652 0.532 0.772
La 0.657 0.769 0.338
La 0.947 0.903 0.806
Ge 0.147 0.691 0.527
Ge 0.853 0.309 0.473
Pt 0.427 0.836 0.972
Pt 0.573 0.164 0.028

The calculation puts the formation energy at -0.78 eV per atom. The calculation puts the density of states at the Fermi level at 9.2 states/eV per cell. Its polymorph energy (0 for the lowest one) is 0.046 eV per atom. The calculation puts the mass density at 7.63 g cm⁻³. The calculation puts the total energy at -5.87 eV per atom.

Record 13
A relaxed La4GePt2 crystal. Source: the Alexandria database, functional PBE.

abc: 5.801 5.801 14.152
angles: 90.00 90.00 90.00
Positions (direct):
La 0.000 0.000 0.210
La 0.000 0.000 0.790
La 0.000 0.500 0.000
La 0.000 0.500 0.500
La 0.500 0.000 0.000
La 0.500 0.000 0.500
La 0.500 0.500 0.290
La 0.500 0.500 0.710
Ge 0.000 0.000 0.000
Ge 0.500 0.500 0.500
Pt 0.000 0.000 0.402
Pt 0.000 0.000 0.598
Pt 0.500 0.500 0.098
Pt 0.500 0.500 0.902

The calculation puts the formation energy at -0.50 eV per atom. The calculation puts the density of states at the Fermi level at 17.3 states/eV per cell. The calculation puts the mass density at 7.10 g cm⁻³. The calculation puts the total energy at -5.70 eV per atom.

Record 14
A relaxed La2GePt4 crystal. Source: the Alexandria database, functional PBE.

abc: 4.730 4.730 15.046
angles: 90.00 90.00 90.00
Positions (direct):
La 0.000 0.000 0.147
La 0.000 0.000 0.853
La 0.500 0.500 0.353
La 0.500 0.500 0.647
Ge 0.000 0.000 0.500
Ge 0.500 0.500 0.000
Pt 0.000 0.000 0.333
Pt 0.000 0.000 0.667
Pt 0.000 0.500 0.000
Pt 0.000 0.500 0.500
Pt 0.500 0.000 0.000
Pt 0.500 0.000 0.500
Pt 0.500 0.500 0.167
Pt 0.500 0.500 0.833

The calculation puts the formation energy at -0.70 eV per atom. The calculation puts the density of states at the Fermi level at 5.9 states/eV per cell. The calculation puts the mass density at 11.16 g cm⁻³. The calculation puts the total energy at -6.22 eV per atom.

Record 15
A relaxed LaGe4Pt2 crystal. Source: the Alexandria database, functional PBE.

abc: 17.716 4.394 6.928
angles: 90.00 90.00 90.00
Positions (direct):
La 0.142 0.250 0.017
La 0.358 0.750 0.517
La 0.642 0.250 0.483
La 0.858 0.750 0.983
Ge 0.037 0.750 0.859
Ge 0.063 0.250 0.469
Ge 0.178 0.750 0.326
Ge 0.194 0.750 0.734
Ge 0.306 0.250 0.234
Ge 0.322 0.250 0.826
Ge 0.437 0.750 0.969
Ge 0.463 0.250 0.359
Ge 0.537 0.750 0.641
Ge 0.563 0.250 0.031
Ge 0.678 0.750 0.174
Ge 0.694 0.750 0.766
Ge 0.806 0.250 0.266
Ge 0.822 0.250 0.674
Ge 0.937 0.750 0.531
Ge 0.963 0.250 0.141
Pt 0.027 0.750 0.240
Pt 0.209 0.250 0.536
Pt 0.291 0.750 0.036
Pt 0.473 0.250 0.740
Pt 0.527 0.750 0.260
Pt 0.709 0.250 0.964
Pt 0.791 0.750 0.464
Pt 0.973 0.250 0.760

The calculation puts the formation energy at -0.66 eV per atom. The calculation puts the density of states at the Fermi level at 9.8 states/eV per cell. The calculation puts the mass density at 10.09 g cm⁻³. The calculation puts the total energy at -5.73 eV per atom.

Record 16
A relaxed LaGePt6 crystal. Source: the Alexandria database, functional PBE.

abc: 7.332 7.332 7.332
angles: 43.79 43.79 43.79
Positions (direct):
La 0.000 0.000 0.000
Ge 0.500 0.500 0.500
Pt 0.065 0.577 0.577
Pt 0.423 0.423 0.935
Pt 0.423 0.935 0.423
Pt 0.577 0.065 0.577
Pt 0.577 0.577 0.065
Pt 0.935 0.423 0.423

The calculation puts the formation energy at -0.44 eV per atom. The calculation puts the density of states at the Fermi level at 2.5 states/eV per cell. The calculation puts the mass density at 13.39 g cm⁻³. The calculation puts the total energy at -6.16 eV per atom.

Record 17
A relaxed LaGePt crystal. Source: the Alexandria database, functional PBE.

abc: 4.539 7.508 7.718
angles: 90.00 90.00 90.00
Positions (direct):
La 0.000 0.000 0.000
La 0.000 0.500 0.076
La 0.500 0.000 0.576
La 0.500 0.500 0.500
Ge 0.000 0.192 0.374
Ge 0.000 0.808 0.374
Ge 0.500 0.308 0.874
Ge 0.500 0.692 0.874
Pt 0.000 0.283 0.708
Pt 0.000 0.717 0.708
Pt 0.500 0.217 0.208
Pt 0.500 0.783 0.208

The calculation puts the formation energy at -1.11 eV per atom. The calculation puts the density of states at the Fermi level at 4.5 states/eV per cell. The calculation puts the mass density at 10.27 g cm⁻³. The calculation puts the total energy at -6.31 eV per atom.

Record 18
A relaxed La3Ge4Pt2 crystal. Source: the Alexandria database, functional PBE.

abc: 6.031 6.031 8.764
angles: 107.99 107.99 43.32
Positions (direct):
La 0.000 0.000 0.000
La 0.376 0.376 0.316
La 0.624 0.624 0.684
Ge 0.118 0.118 0.419
Ge 0.277 0.277 0.936
Ge 0.723 0.723 0.064
Ge 0.882 0.882 0.581
Pt 0.339 0.339 0.687
Pt 0.661 0.661 0.313

The calculation puts the formation energy at -0.95 eV per atom. The calculation puts the density of states at the Fermi level at 5.5 states/eV per cell. The calculation puts the mass density at 8.83 g cm⁻³. The calculation puts the total energy at -5.99 eV per atom.

Record 19
A relaxed LaGe2Pt2 crystal. Source: the Alexandria database, functional PBE.

abc: 9.886 4.499 8.936
angles: 90.00 90.93 90.00
Positions (direct):
La 0.244 0.245 0.128
La 0.244 0.255 0.628
La 0.756 0.745 0.372
La 0.756 0.755 0.872
Ge 0.001 0.243 0.375
Ge 0.001 0.257 0.875
Ge 0.379 0.694 0.390
Ge 0.379 0.806 0.890
Ge 0.621 0.194 0.110
Ge 0.621 0.306 0.610
Ge 0.999 0.743 0.125
Ge 0.999 0.757 0.625
Pt 0.125 0.744 0.377
Pt 0.125 0.756 0.877
Pt 0.500 0.181 0.359
Pt 0.500 0.319 0.859
Pt 0.500 0.681 0.141
Pt 0.500 0.819 0.641
Pt 0.875 0.244 0.123
Pt 0.875 0.256 0.623

The calculation puts the formation energy at -0.99 eV per atom. The calculation puts the density of states at the Fermi level at 8.7 states/eV per cell. The calculation puts the mass density at 11.27 g cm⁻³. The calculation puts the total energy at -6.24 eV per atom.

Record 20
A relaxed LaGePt3 crystal. Source: the Alexandria database, functional PBE.

abc: 4.157 4.157 11.331
angles: 90.00 90.00 90.00
Positions (direct):
La 0.000 0.000 0.000
La 0.500 0.500 0.500
Ge 0.000 0.000 0.368
Ge 0.500 0.500 0.868
Pt 0.000 0.000 0.581
Pt 0.000 0.500 0.246
Pt 0.000 0.500 0.746
Pt 0.500 0.000 0.246
Pt 0.500 0.000 0.746
Pt 0.500 0.500 0.081

The calculation puts the formation energy at -0.95 eV per atom. The calculation puts the density of states at the Fermi level at 5.1 states/eV per cell. Its polymorph energy (0 for the lowest one) is 0.000 eV per atom. The calculation puts the mass density at 13.52 g cm⁻³. The calculation puts the total energy at -6.48 eV per atom.

Record 21
A relaxed LaGePt crystal. Source: the Alexandria database, functional PBE.

abc: 4.295 4.295 15.158
angles: 90.00 90.00 90.00
Positions (direct):
La 0.000 0.000 0.000
La 0.000 0.500 0.250
La 0.500 0.000 0.750
La 0.500 0.500 0.500
Ge 0.000 0.000 0.581
Ge 0.000 0.500 0.831
Ge 0.500 0.000 0.331
Ge 0.500 0.500 0.081
Pt 0.000 0.000 0.415
Pt 0.000 0.500 0.665
Pt 0.500 0.000 0.165
Pt 0.500 0.500 0.915

The calculation puts the formation energy at -1.11 eV per atom. The calculation puts the density of states at the Fermi level at 6.7 states/eV per cell. The calculation puts the mass density at 9.66 g cm⁻³. The calculation puts the total energy at -6.31 eV per atom.